A plane-wave DFT calculation with GGA-PBEsol was carried out for a relaxed CaTl2PtBr crystal.

a b c (Å): 5.187 5.187 5.567
angles (deg): 90.00 90.00 90.00
Space group P4/mmm (No. 123)
One atom of each set of equivalent atoms:
Ca  0.000  0.000  0.000 (multiplicity 1)
Tl  0.000  0.500  0.500 (multiplicity 2)
Pt  0.500  0.500  0.500 (multiplicity 1)
Br  0.500  0.500  0.000 (multiplicity 1)

For the density of states at the Fermi level, the calculation gives 2.9 states/eV/cell. For the uncorrected formation energy, the calculation gives -0.55 eV per formula unit. As for the final energy: -16.8 eV/cell. The total magnetization comes out at 0.000 μB per atom.